The following is a DFT calculation (PBE-GGA) of a geometry-optimized LuTa2Ga structure.

```
LuTa2Ga
1.0
0.000 3.372 3.372
3.372 0.000 3.372
3.372 3.372 0.000
Lu Ta Ga
1 2 1
direct
0.000 0.000 0.000
0.250 0.250 0.250
0.500 0.500 0.500
0.750 0.750 0.750
```

Values from the calculation:
Space group = F-43m (216)
Total energy = -30.9 eV for the cell shown

=====

The following is a DFT calculation (PBE-GGA) of a geometry-optimized TbLuGa structure.

```
TbLuGa
1.0
0.000 3.475 3.475
3.475 0.000 3.475
3.475 3.475 0.000
Tb Lu Ga
1 1 1
direct
0.000 0.000 0.000
0.500 0.500 0.500
0.750 0.750 0.750
```

Values from the calculation:
Polymorph energy (0 for the lowest one) = 0 meV/atom
Space group = F-43m (216)

=====

The following is a DFT calculation (PBE-GGA) of a geometry-optimized Lu2GaTc structure.

```
Lu2GaTc
1.0
0.000 3.372 3.372
3.372 0.000 3.372
3.372 3.372 0.000
Lu Ga Tc
2 1 1
direct
0.000 0.000 0.000
0.250 0.250 0.250
0.500 0.500 0.500
0.750 0.750 0.750
```

Values from the calculation:
Space group = F-43m (216)
Total energy = -22.7 eV for the cell shown

=====

The following is a DFT calculation (PBE-GGA) of a geometry-optimized LuGaTc2 structure.

```
LuGaTc2
1.0
0.000 3.219 3.219
3.219 0.000 3.219
3.219 3.219 0.000
Lu Ga Tc
1 1 2
direct
0.000 0.000 0.000
0.750 0.750 0.750
0.250 0.250 0.250
0.500 0.500 0.500
```

Values from the calculation:
Space group = F-43m (216)
Total energy = -28.5 eV for the cell shown

=====

The following is a DFT calculation (PBE-GGA) of a geometry-optimized LuGaTe structure.

```
LuGaTe
1.0
0.000 3.516 3.516
3.516 0.000 3.516
3.516 3.516 0.000
Lu Ga Te
1 1 1
direct
0.000 0.000 0.000
0.500 0.500 0.500
0.750 0.750 0.750
```

Values from the calculation:
Space group = F-43m (216)
Total energy = -11.4 eV for the cell shown

=====

The following is a DFT calculation (PBE-GGA) of a geometry-optimized LuUGa structure.

```
LuUGa
1.0
0.000 3.304 3.304
3.304 0.000 3.304
3.304 3.304 0.000
Lu U Ga
1 1 1
direct
0.000 0.000 0.000
0.250 0.250 0.250
0.750 0.750 0.750
```

Values from the calculation:
Polymorph energy (0 for the lowest one) = 0 meV/atom
Space group = F-43m (216)